RbBeTe | PBE | relaxed

Geometry as extended XYZ:
```
6
Lattice="-4.554 -2.131 0.240 1.626 -3.872 -3.529 3.948 -1.608 7.846" Properties=species:S:1:pos:R:3 pbc="T T T"
Be -2.453 -3.464 -1.593
Be -0.476 -2.539 -1.697
Te -0.399 -4.552 4.809
Te 1.418 -3.059 -0.253
Rb 2.572 -5.200 2.627
Rb -1.552 -2.411 1.929
```

Calculated values
formation energy from raw total energies: -396 meV/atom
raw total energy: -18.0 eV for the cell shown
volume: 224.1 Å³ per cell
total magnetization: 0.00 μB/cell